# PBE YZnPt, optimized geometry
data_YZnPt
_space_group_name_H-M_alt 'F -4 3 m'
_space_group_IT_number 216
_space_group_name_Hall 'F -4 2 3'
_cell_length_a 6.485
_cell_length_b 6.485
_cell_length_c 6.485
_cell_angle_alpha 90.00
_cell_angle_beta 90.00
_cell_angle_gamma 90.00
loop_
_atom_site_label
_atom_site_type_symbol
_atom_site_fract_x
_atom_site_fract_y
_atom_site_fract_z
Y1 Y 0.000 0.000 0.000
Zn1 Zn 0.000 0.000 0.500
Pt1 Pt 0.250 0.250 0.250
# formation energy: -787 meV per atom
# raw total energy: -64.589 eV per cell